Entry 1:
A plane-wave DFT calculation with GGA-PBE was carried out for an optimized crystal structure of PrSm4Th3S8.

## Properties
For the uncorrected formation energy, the calculation gives -31.185 eV/f.u.

Lattice parameters (Å, degrees): 8.014 8.109 8.014 119.61 120.00 90.00
Sites, in units of the cell vectors:
Pr 0.000 0.500 0.000
Sm 0.500 0.000 0.000
Sm 0.500 0.000 0.500
Sm 0.000 0.000 0.000
Sm 0.000 0.000 0.500
Th 0.500 0.500 0.000
Th 0.500 0.500 0.500
Th 0.000 0.500 0.500
S 0.253 0.756 0.003
S 0.253 0.756 0.506
S 0.248 0.245 0.496
S 0.750 0.756 0.003
S 0.250 0.244 0.997
S 0.752 0.755 0.504
S 0.747 0.244 0.494
S 0.747 0.244 0.997

Entry 2:
A plane-wave DFT calculation with GGA-PBE was carried out for an optimized crystal structure of PrSm2ThS4.

## Properties
For the uncorrected formation energy, the calculation gives -15.761 eV/f.u.

Lattice parameters (Å, degrees): 4.018 6.996 7.023 109.25 90.00 90.00
Sites, in units of the cell vectors:
Pr 0.000 0.000 0.000
Sm 0.500 0.000 0.500
Sm 0.000 0.500 0.500
Th 0.500 0.500 0.000
S 0.500 0.255 0.257
S 0.500 0.745 0.743
S 0.000 0.250 0.745
S 0.000 0.750 0.255

Result set for electronic total energy: -6.8825 -6.7386 eV/atom, one per record in the order listed.